{"formula": "VTePd3", "functional": "GGA-PBE", "state": "relaxed", "lattice_angstrom": [[-1.625, -3.618, 2.899], [1.197, -3.295, -3.441], [4.478, -0.432, 1.972]], "species": ["Pd", "Pd", "Pd", "Te", "V"], "fractional_positions": [[0.500, 0.000, 0.000], [0.000, 0.500, 0.000], [0.000, 0.000, 0.500], [0.000, 0.000, 0.000], [0.500, 0.500, 0.500]], "total_magnetization_mub_per_fu": 3.31, "formation_energy_uncorrected_mev_per_atom": 629, "relative_energy_ev_per_atom": 0.715, "spacegroup": "Pm-3m (221)", "crystal_system": "cubic"}

=====

{"formula": "VTePd3", "functional": "GGA-PBE", "state": "relaxed", "lattice_angstrom": [[2.974, 0.000, 0.001], [0.000, 8.487, 0.000], [0.002, 0.000, 7.237]], "species": ["Pd", "Pd", "Pd", "Pd", "Pd", "Pd", "Te", "Te", "V", "V"], "fractional_positions": [[0.250, 0.019, 0.162], [0.750, 0.981, 0.838], [0.250, 0.250, 0.716], [0.750, 0.519, 0.838], [0.250, 0.481, 0.162], [0.750, 0.750, 0.284], [0.751, 0.250, 0.387], [0.249, 0.750, 0.613], [0.750, 0.250, 0.016], [0.250, 0.750, 0.984]], "total_magnetization_mub_per_fu": 0.00, "formation_energy_uncorrected_mev_per_atom": -85, "relative_energy_ev_per_atom": 0.000, "spacegroup": "Pmmn (59)", "crystal_system": "orthorhombic"}

=====

{"formula": "V2Te5Pd", "functional": "GGA-PBE", "state": "relaxed", "lattice_angstrom": [[5.412, 0.000, 0.000], [-2.706, 6.775, 0.000], [0.000, 0.000, 12.796]], "species": ["Te", "Te", "Te", "Te", "Te", "Te", "Te", "Te", "Te", "Te", "Pd", "Pd", "V", "V", "V", "V"], "fractional_positions": [[0.957, 0.914, 0.613], [0.312, 0.625, 0.074], [0.312, 0.625, 0.426], [0.957, 0.914, 0.887], [0.043, 0.086, 0.113], [0.688, 0.375, 0.926], [0.688, 0.375, 0.574], [0.043, 0.086, 0.387], [0.252, 0.505, 0.750], [0.748, 0.495, 0.250], [0.806, 0.613, 0.750], [0.194, 0.387, 0.250], [0.151, 0.302, 0.940], [0.849, 0.698, 0.440], [0.849, 0.698, 0.060], [0.151, 0.302, 0.560]], "total_magnetization_mub_per_fu": 3.42, "formation_energy_uncorrected_mev_per_atom": -173, "relative_energy_ev_per_atom": 0.000, "spacegroup": "Cmcm (63)", "crystal_system": "orthorhombic"}

=====

{"formula": "V4Te8Pd", "functional": "GGA-PBE", "state": "relaxed", "lattice_angstrom": [[6.326, 0.000, -3.413], [-4.084, 5.916, 0.000], [0.497, 0.343, 8.490]], "species": ["V", "V", "V", "V", "Te", "Te", "Te", "Te", "Te", "Te", "Te", "Te", "Pd"], "fractional_positions": [[0.000, 0.500, 0.000], [0.500, 0.000, 0.000], [0.000, 0.000, 0.000], [0.500, 0.500, 0.000], [0.013, 0.752, 0.765], [0.987, 0.739, 0.235], [0.987, 0.248, 0.235], [0.503, 0.752, 0.765], [0.511, 0.255, 0.766], [0.013, 0.261, 0.765], [0.489, 0.745, 0.234], [0.497, 0.248, 0.235], [0.000, 0.500, 0.500]], "total_magnetization_mub_per_fu": 2.24, "formation_energy_uncorrected_mev_per_atom": -248, "spacegroup": "R-3m (166)", "crystal_system": "trigonal"}

=====

{"formula": "VTe3Pd", "functional": "GGA-PBE", "state": "relaxed", "lattice_angstrom": [[3.550, 0.000, 0.000], [0.000, 6.271, -1.801], [0.000, 0.278, 12.786]], "species": ["V", "V", "Te", "Te", "Te", "Te", "Te", "Te", "Pd", "Pd"], "fractional_positions": [[0.750, 0.466, 0.353], [0.250, 0.114, 0.647], [0.250, 0.371, 0.847], [0.250, 0.158, 0.260], [0.750, 0.899, 0.740], [0.750, 0.524, 0.153], [0.250, 0.732, 0.478], [0.750, 0.253, 0.522], [0.250, 0.760, 0.278], [0.750, 0.482, 0.722]], "total_magnetization_mub_per_fu": 0.33, "formation_energy_uncorrected_mev_per_atom": -220, "relative_energy_ev_per_atom": 0.000, "spacegroup": "Ama2 (40)", "crystal_system": "orthorhombic"}

=====

{"formula": "VTe4Pd2", "functional": "GGA-PBE", "state": "relaxed", "lattice_angstrom": [[-0.614, 5.059, -1.191], [-0.645, -1.265, -5.037], [-7.190, 1.333, -2.132]], "species": ["V", "Pd", "Pd", "Te", "Te", "Te", "Te"], "fractional_positions": [[0.000, 0.000, 0.000], [0.599, 0.599, 0.803], [0.401, 0.401, 0.197], [0.500, 0.000, 0.000], [0.208, 0.208, 0.585], [0.000, 0.500, 0.000], [0.792, 0.792, 0.415]], "total_magnetization_mub_per_fu": 1.10, "formation_energy_uncorrected_mev_per_atom": 121, "relative_energy_ev_per_atom": 0.437, "spacegroup": "I4/mmm (139)", "crystal_system": "tetragonal"}

=====

{"formula": "VTe3Pd", "functional": "GGA-PBE", "state": "relaxed", "lattice_angstrom": [[-2.428, -4.283, 1.522], [1.091, -2.225, -4.519], [4.413, -1.807, 1.955]], "species": ["Pd", "Te", "Te", "Te", "V"], "fractional_positions": [[0.500, 0.500, 0.500], [0.000, 0.000, 0.500], [0.500, 0.000, 0.000], [0.000, 0.500, 0.000], [0.000, 0.000, 0.000]], "total_magnetization_mub_per_fu": 0.53, "formation_energy_uncorrected_mev_per_atom": 452, "relative_energy_ev_per_atom": 0.672, "spacegroup": "Pm-3m (221)", "crystal_system": "cubic"}

=====

{"formula": "V2Te4Pd", "functional": "GGA-PBE", "state": "relaxed", "lattice_angstrom": [[6.440, 0.227, 0.000], [-2.902, 5.754, 0.000], [-1.769, -2.991, 5.427]], "species": ["Te", "Te", "Te", "Te", "V", "V", "Pd"], "fractional_positions": [[0.326, 0.199, 0.525], [0.199, 0.674, 0.873], [0.674, 0.801, 0.475], [0.801, 0.326, 0.127], [0.250, 0.750, 0.500], [0.750, 0.250, 0.500], [0.500, 0.500, 0.000]], "total_magnetization_mub_per_fu": 4.02, "formation_energy_uncorrected_mev_per_atom": -55, "relative_energy_ev_per_atom": 0.194, "spacegroup": "I4/m (87)", "crystal_system": "tetragonal"}

=====

{"formula": "VTe4Pd5", "functional": "GGA-PBE", "state": "relaxed", "lattice_angstrom": [[-0.252, -3.928, -0.847], [-0.592, -1.633, 7.748], [-6.459, 3.049, -2.648]], "species": ["V", "Pd", "Pd", "Pd", "Pd", "Pd", "Te", "Te", "Te", "Te"], "fractional_positions": [[0.500, 0.000, 0.000], [0.500, 0.500, 0.000], [0.866, 0.390, 0.733], [0.134, 0.610, 0.267], [0.782, 0.648, 0.565], [0.218, 0.352, 0.435], [0.701, 0.119, 0.402], [0.299, 0.881, 0.598], [0.986, 0.744, 0.972], [0.014, 0.256, 0.028]], "total_magnetization_mub_per_fu": 2.33, "formation_energy_uncorrected_mev_per_atom": -134, "spacegroup": "C2/m (12)", "crystal_system": "monoclinic"}

=====

{"formula": "VTePd5", "functional": "GGA-PBE", "state": "relaxed", "lattice_angstrom": [[-1.143, -0.194, -4.518], [1.689, -4.341, -0.241], [-5.045, -2.039, 1.365]], "species": ["V", "Pd", "Pd", "Pd", "Pd", "Pd", "Te"], "fractional_positions": [[0.500, 0.500, 0.000], [0.500, 0.000, 0.761], [0.500, 0.000, 0.239], [0.500, 0.500, 0.500], [0.000, 0.500, 0.761], [0.000, 0.500, 0.239], [0.000, 0.000, 0.500]], "total_magnetization_mub_per_fu": 1.69, "formation_energy_uncorrected_mev_per_atom": -55, "spacegroup": "P4/mmm (123)", "crystal_system": "tetragonal"}

=====

{"formula": "V2Te4Pd", "functional": "GGA-PBE", "state": "relaxed", "lattice_angstrom": [[5.183, 0.000, 0.000], [0.000, 5.183, 0.000], [2.591, 2.591, 7.634]], "species": ["Te", "Te", "Te", "Te", "V", "V", "Pd"], "fractional_positions": [[0.757, 0.757, 0.486], [0.500, 0.000, 0.000], [0.243, 0.243, 0.514], [0.000, 0.500, 0.000], [0.412, 0.412, 0.176], [0.588, 0.588, 0.824], [0.000, 0.000, 0.000]], "total_magnetization_mub_per_fu": 5.13, "formation_energy_uncorrected_mev_per_atom": 238, "relative_energy_ev_per_atom": 0.486, "spacegroup": "I4/mmm (139)", "crystal_system": "tetragonal"}

=====

{"formula": "V2Te4Pd", "functional": "GGA-PBE", "state": "relaxed", "lattice_angstrom": [[-4.895, -3.745, 5.170], [5.933, -5.101, 1.866], [2.205, -0.984, 7.631]], "species": ["Te", "Te", "Te", "Te", "Te", "Te", "Te", "Te", "Pd", "Pd", "V", "V", "V", "V"], "fractional_positions": [[0.726, 0.245, 0.513], [0.255, 0.774, 0.987], [0.745, 0.226, 0.013], [0.257, 0.238, 0.988], [0.274, 0.755, 0.487], [0.738, 0.757, 0.488], [0.262, 0.243, 0.512], [0.743, 0.762, 0.012], [0.875, 0.625, 0.750], [0.125, 0.375, 0.250], [0.000, 0.000, 0.000], [0.500, 0.500, 0.500], [0.500, 0.000, 0.000], [0.500, 0.000, 0.500]], "total_magnetization_mub_per_fu": 3.04, "formation_energy_uncorrected_mev_per_atom": -249, "relative_energy_ev_per_atom": 0.000, "spacegroup": "C2/c (15)", "crystal_system": "monoclinic"}